A relaxed structure of Mg2GaHg2, computed with GGA-PBE.

Unit cell a=9.0388 b=7.1050 c=6.9248 alpha=90.00 beta=90.30 gamma=90.00
Last column: nearest neighbours and their distance in Å.
Space group P2_1/c (No. 14)
Symmetry-distinct sites (fractional):
Mg: 0.0863 0.2019 0.0022 x4  3 Ga 2.84-3.13, 3 Hg 2.87-3.09
Mg: 0.3635 0.6561 0.5011 x4  2 Ga 2.87-3.08, 4 Hg 2.90-3.09
Ga: 0.1599 0.5563 0.8001 x4  4 Hg 2.75-2.96, 4 Mg 2.84-3.08
Hg: 0.1549 0.5575 0.1978 x4  3 Ga 2.75-2.96, 3 Mg 2.87-2.93
Hg: 0.3901 0.2297 0.2553 x4  2 Mg 2.90, 1 Ga 2.93, 1 Hg 3.18

Summary:
Crystal system: monoclinic
ΔE_f, kcal/mol of atoms: -2.65
Total magnetic moment, μB/atom: 0.00
Relative energy among the computed polymorphs, meV per atom: 0
Total DFT energy (no corrections), eV per cell: -29.6


A relaxed structure of PuAgSbAu, computed with GGA-PBE.

Unit cell a=7.1379 b=7.1379 c=7.1379 alpha=90.00 beta=90.00 gamma=90.00
Last column: nearest neighbours and their distance in Å.
Space group F-43m (No. 216)
Symmetry-distinct sites (fractional):
Pu: 0.0000 0.0000 0.0000 x4  4 Ag 3.09, 4 Au 3.09
Ag: 0.2500 0.2500 0.2500 x4  4 Sb 3.09, 4 Pu 3.09
Sb: 0.0000 0.0000 0.5000 x4  4 Ag 3.09, 4 Au 3.09
Au: 0.2500 0.2500 0.7500 x4  4 Sb 3.09, 4 Pu 3.09

Summary:
Crystal system: cubic
Formation energy from raw total energies, eV/atom: -0.24
Total magnetic moment, μB/atom: 1.34
Total DFT energy (no corrections), eV per cell: -102.2


A relaxed structure of ScBe2Mo, computed with GGA-PBE.

Unit cell a=3.9732 b=3.9732 c=6.8257 alpha=90.00 beta=90.00 gamma=90.00
Last column: nearest neighbours and their distance in Å.
Space group I4/mmm (No. 139)
Symmetry-distinct sites (fractional):
Sc: 0.0000 0.0000 0.0000 x2  8 Be 2.62, 4 Mo 2.81
Be: 0.0000 0.5000 0.2500 x4  4 Mo 2.62, 4 Sc 2.62, 4 Be 2.81
Mo: 0.0000 0.0000 0.5000 x2  8 Be 2.62, 4 Sc 2.81

Summary:
Crystal system: tetragonal
ΔE_f, kcal/mol of atoms: 1.59
Total magnetic moment, μB/atom: 0.00
Relative energy among the computed polymorphs, meV per atom: 106
Total DFT energy (no corrections), eV per cell: -48.7


A relaxed structure of Nd4GaRh4, computed with GGA-PBE.

Unit cell a=8.6233 b=8.6233 c=5.6752 alpha=90.00 beta=90.00 gamma=90.00
Last column: nearest neighbours and their distance in Å.
Space group P4_2/n (No. 86, origin choice 2)
Symmetry-distinct sites (fractional):
Nd: 0.0403 0.6854 0.1117 x8  4 Rh 2.87-3.20
Ga: 0.2500 0.2500 0.2500 x2  4 Rh 2.44
Rh: 0.0058 0.3586 0.3919 x8  1 Ga 2.44, 1 Rh 2.73

Summary:
Crystal system: tetragonal
ΔE_f, kcal/mol of atoms: -14.35
Total magnetic moment, μB/atom: 0.00
Total DFT energy (no corrections), eV per cell: -114.2


A relaxed structure of TaAlGa2, computed with GGA-PBE.

Unit cell a=2.9799 b=2.9799 c=28.7115 alpha=90.00 beta=90.00 gamma=120.00
Last column: nearest neighbours and their distance in Å.
Space group R-3m (No. 166, hexagonal axes)
Symmetry-distinct sites (fractional):
Ta: 0.0000 0.0000 0.0000 x3  6 Ga 2.81, 6 Ta 2.98
Al: 0.0000 0.0000 0.5000 x3  2 Ga 2.56
Ga: 0.0000 0.0000 0.4108 x6  1 Al 2.56, 3 Ta 2.81

Summary:
Crystal system: trigonal
ΔE_f, kcal/mol of atoms: 1.11
Total magnetic moment, μB/atom: 0.00
Total DFT energy (no corrections), eV per cell: -64.4


A relaxed structure of Ca5Pt2Pb2, computed with GGA-PBE.

Unit cell a=16.7444 b=7.8306 c=7.7695 alpha=90.00 beta=90.00 gamma=90.00
Last column: nearest neighbours and their distance in Å.
Space group Cmce (No. 64)
Symmetry-distinct sites (fractional):
Ca: 0.0000 0.0000 0.0000 x4  4 Pt 3.08-3.09
Ca: 0.1192 0.1751 0.3266 x16  3 Pt 2.98-3.10, 1 Pb 3.23
Pt: 0.0000 0.1247 0.6246 x8  1 Pt 2.75, 3 Ca 2.98-3.08
Pb: 0.2256 0.0000 0.0000 x8  6 Ca 3.23-3.39

Summary:
Crystal system: orthorhombic
ΔE_f, kcal/mol of atoms: -15.52
Total magnetic moment, μB/atom: 0.00
Total DFT energy (no corrections), eV per cell: -142.3


A relaxed structure of Y2Mn2Pt, computed with GGA-PBE.

Unit cell a=6.6307 b=6.6307 c=4.3350 alpha=90.00 beta=90.00 gamma=90.00
Last column: nearest neighbours and their distance in Å.
Space group P4/mbm (No. 127)
Symmetry-distinct sites (fractional):
Y: 0.1837 0.3163 0.0000 x4  6 Mn 2.89-2.96
Mn: 0.1123 0.6123 0.5000 x4  1 Mn 2.11
Pt: 0.0000 0.0000 0.5000 x2  4 Mn 2.68

Summary:
Crystal system: tetragonal
ΔE_f, kcal/mol of atoms: -5.22
Total magnetic moment, μB/atom: 0.52
Total DFT energy (no corrections), eV per cell: -76.9


A relaxed structure of NaSnSb, computed with GGA-PBE.

Unit cell a=3.9941 b=3.9941 c=10.9085 alpha=90.00 beta=90.00 gamma=90.00
Last column: nearest neighbours and their distance in Å.
Space group I4mm (No. 107)
Symmetry-distinct sites (fractional):
Na: 0.0000 0.0000 0.0000 x2  5 Sn 3.34-3.53, 5 Sb 3.38-3.50
Sn: 0.0000 0.0000 0.6937 x2  4 Sb 3.10, 1 Na 3.34
Sb: 0.0000 0.0000 0.3100 x2  4 Sn 3.10, 1 Na 3.38

Summary:
Crystal system: tetragonal
Formation energy from raw total energies, eV/atom: -0.16
Total magnetic moment, μB/atom: 0.00
Relative energy among the computed polymorphs, meV per atom: 85
Total DFT energy (no corrections), eV per cell: -19.8


A relaxed structure of Na3ZrRu, computed with GGA-PBE.

Unit cell a=5.7743 b=5.7743 c=5.7743 alpha=90.00 beta=90.00 gamma=90.00
Last column: nearest neighbours and their distance in Å.
Space group Pm-3m (No. 221)
Symmetry-distinct sites (fractional):
Na: 0.0000 0.0000 0.5000 x3  2 Zr 2.89
Zr: 0.0000 0.0000 0.0000 x1  6 Na 2.89
Ru: 0.5000 0.5000 0.5000 x1  12 Na 4.08

Summary:
Crystal system: cubic
ΔE_f, kcal/mol of atoms: 48.78
Total magnetic moment, μB/atom: 0.22
Relative energy among the computed polymorphs, meV per atom: 542
Total DFT energy (no corrections), eV per cell: -11.2


A relaxed structure of Ta2As, computed with GGA-PBE.

Unit cell a=7.7565 b=7.7565 c=7.7565 alpha=90.00 beta=90.00 gamma=90.00
Last column: nearest neighbours and their distance in Å.
Space group Fd-3m (No. 227, origin choice 2)
Symmetry-distinct sites (fractional):
Ta: 0.0000 0.0000 0.0000 x16  6 Ta 2.74
As: 0.1250 0.1250 0.6250 x8  12 Ta 3.22, 4 As 3.36

Summary:
Crystal system: cubic
ΔE_f, kcal/mol of atoms: 12.83
Total magnetic moment, μB/atom: 0.00
Total DFT energy (no corrections), eV per cell: -213.5


A relaxed structure of Pr2AlRh, computed with GGA-PBE.

Unit cell a=3.7197 b=3.7197 c=7.0837 alpha=90.00 beta=90.00 gamma=90.00
Last column: nearest neighbours and their distance in Å.
Space group P4/mmm (No. 123)
Symmetry-distinct sites (fractional):
Pr: 0.0000 0.0000 0.2336 x2  4 Rh 3.11, 4 Al 3.24, 1 Pr 3.31
Al: 0.5000 0.5000 0.5000 x1  8 Pr 3.24, 2 Rh 3.54
Rh: 0.5000 0.5000 0.0000 x1  8 Pr 3.11

Summary:
Crystal system: tetragonal
ΔE_f, kcal/mol of atoms: -10.52
Total magnetic moment, μB/atom: 0.00
Relative energy among the computed polymorphs, meV per atom: 0
Total DFT energy (no corrections), eV per cell: -22.5


A relaxed structure of Tb8Ho2Tm, computed with GGA-PBE.

Unit cell a=8.9805 b=16.2342 c=5.8555 alpha=90.00 beta=124.50 gamma=90.00
Last column: nearest neighbours and their distance in Å.
Space group C2/m (No. 12)
Symmetry-distinct sites (fractional):
Tb: 0.0000 0.2051 0.0000 x4  1 Tm 3.33, 4 Ho 3.38-3.73, 6 Tb 3.56-3.64
Tb: 0.0690 0.5000 0.7938 x4  3 Tb 2.92-3.18
Tb: 0.2170 0.1192 0.6841 x8  4 Tb 3.18-3.56, 2 Ho 3.47-3.48
Ho: 0.0000 0.3096 0.5000 x4  10 Tb 3.38-3.73
Tm: 0.0000 0.0000 0.0000 x2  4 Tb 3.33-3.34

Summary:
Crystal system: monoclinic
ΔE_f, kcal/mol of atoms: 3.59
Total magnetic moment, μB/atom: 0.00
Relative energy among the computed polymorphs, meV per atom: 0
Total DFT energy (no corrections), eV per cell: -97.9


A relaxed structure of Tb2Pm2In3, computed with GGA-PBE.

Unit cell a=4.6050 b=24.6442 c=3.5212 alpha=90.00 beta=90.00 gamma=90.00
Last column: nearest neighbours and their distance in Å.
Space group Cmmm (No. 65)
Symmetry-distinct sites (fractional):
Tb: 0.0000 0.2024 0.0000 x4  4 In 3.22, 1 Pm 3.25, 4 Tb 3.29-3.52
Pm: 0.0000 0.0706 0.0000 x4  1 Tb 3.25, 8 In 3.38-3.44, 3 Pm 3.48-3.52
In: 0.0000 0.3544 0.5000 x4  4 Tb 3.22, 4 Pm 3.44, 3 In 3.52-3.59
In: 0.0000 0.5000 0.5000 x2  8 Pm 3.38, 4 In 3.52-3.59

Summary:
Crystal system: orthorhombic
ΔE_f, kcal/mol of atoms: -7.31
Total magnetic moment, μB/atom: 0.00
Relative energy among the computed polymorphs, meV per atom: 37
Total DFT energy (no corrections), eV per cell: -58.4


A relaxed structure of K2Mg2I5, computed with GGA-PBE.

Unit cell a=16.1775 b=6.0654 c=8.7228 alpha=90.00 beta=114.86 gamma=90.00
Last column: nearest neighbours and their distance in Å.
Space group C2/m (No. 12)
Symmetry-distinct sites (fractional):
K: 0.1098 0.0000 0.2967 x4  7 I 3.56-3.90
Mg: 0.1487 0.5000 0.8730 x4  5 I 2.84-3.05
I: 0.0000 0.5000 0.0000 x2  2 Mg 3.04
I: 0.1483 0.0000 0.9055 x4  3 Mg 3.03-3.05
I: 0.1485 0.5000 0.5477 x4  1 Mg 2.84

Summary:
Crystal system: monoclinic
Formation energy from raw total energies, eV/atom: -1.04
Total magnetic moment, μB/atom: 0.00
Total DFT energy (no corrections), eV per cell: -44.9


A relaxed structure of Mn2GeS, computed with GGA-PBE.

Unit cell a=5.7614 b=5.7614 c=5.7614 alpha=90.00 beta=90.00 gamma=90.00
Last column: nearest neighbours and their distance in Å.
Space group Fm-3m (No. 225)
Symmetry-distinct sites (fractional):
Mn: 0.2500 0.2500 0.2500 x8  4 S 2.49, 4 Ge 2.49
Ge: 0.0000 0.0000 0.0000 x4  8 Mn 2.49
S: 0.0000 0.0000 0.5000 x4  8 Mn 2.49

Summary:
Crystal system: cubic
Formation energy from raw total energies, eV/atom: 0.19
Total magnetic moment, μB/atom: 0.10
Total DFT energy (no corrections), eV per cell: -105.3


A relaxed structure of TaV2HgTe, computed with GGA-PBE.

Unit cell a=4.8825 b=4.8825 c=5.0935 alpha=90.00 beta=90.00 gamma=90.00
Last column: nearest neighbours and their distance in Å.
Space group P4/mmm (No. 123)
Symmetry-distinct sites (fractional):
Ta: 0.0000 0.0000 0.0000 x1  2 Te 2.55
V: 0.0000 0.5000 0.5000 x2  2 Te 2.44
Hg: 0.5000 0.5000 0.0000 x1  4 Ta 3.45, 8 V 3.53
Te: 0.0000 0.0000 0.5000 x1  4 V 2.44, 2 Ta 2.55

Summary:
Crystal system: tetragonal
Formation energy from raw total energies, eV/atom: 1.37
Total magnetic moment, μB/atom: 0.93
Total DFT energy (no corrections), eV per cell: -26.7


A relaxed structure of Li2CdBiH, computed with GGA-PBE.

Unit cell a=4.5352 b=4.5352 c=4.4290 alpha=90.00 beta=90.00 gamma=90.00
Last column: nearest neighbours and their distance in Å.
Space group P4/mmm (No. 123)
Symmetry-distinct sites (fractional):
Li: 0.0000 0.5000 0.0000 x2  2 H 2.27
Cd: 0.0000 0.0000 0.5000 x1  8 Li 3.17, 4 Bi 3.21
Bi: 0.5000 0.5000 0.5000 x1  2 H 2.21
H: 0.5000 0.5000 0.0000 x1  2 Bi 2.21, 4 Li 2.27

Summary:
Crystal system: tetragonal
Total magnetic moment, μB/atom: 0.00
Relative energy among the computed polymorphs, meV per atom: 142
Total DFT energy (no corrections), eV per cell: -12.5


A relaxed structure of K2CdF, computed with GGA-PBE.

Unit cell a=7.9494 b=7.9494 c=9.5751 alpha=90.00 beta=90.00 gamma=90.00
Last column: nearest neighbours and their distance in Å.
Space group I-42d (No. 122)
Symmetry-distinct sites (fractional):
K: 0.1252 0.7500 0.1250 x8  2 F 2.52
Cd: 0.0000 0.0000 0.5000 x4  8 K 3.78-4.22
F: 0.0000 0.0000 0.0000 x4  4 K 2.52

Summary:
Crystal system: tetragonal
Formation energy from raw total energies, eV/atom: -1.24
Total magnetic moment, μB/atom: 0.00
Relative energy among the computed polymorphs, meV per atom: 54
Total DFT energy (no corrections), eV per cell: -39.8


A relaxed structure of SrMgAl3Cu, computed with GGA-PBE.

Unit cell a=6.0344 b=13.2026 c=6.6228 alpha=90.00 beta=90.00 gamma=90.00
Last column: nearest neighbours and their distance in Å.
Space group Cmcm (No. 63)
Symmetry-distinct sites (fractional):
Sr: 0.0000 0.2101 0.2500 x4  1 Cu 2.93, 2 Al 3.23
Mg: 0.0000 0.1480 0.7500 x4  5 Al 2.90-3.02, 2 Cu 3.20
Al: 0.0000 0.3767 0.7500 x4  1 Cu 2.52
Al: 0.2269 0.0000 0.0000 x8  2 Cu 2.50, 1 Al 2.74
Cu: 0.0000 0.4321 0.2500 x4  5 Al 2.50-2.52

Summary:
Crystal system: orthorhombic
ΔE_f, kcal/mol of atoms: -1.16
Total magnetic moment, μB/atom: 0.00
Total DFT energy (no corrections), eV per cell: -75.6


A relaxed structure of Dy5Y3Sc, computed with GGA-PBE.

Unit cell a=8.4802 b=8.4802 c=15.7269 alpha=90.00 beta=90.00 gamma=90.00
Last column: nearest neighbours and their distance in Å.
Space group I4/mcm (No. 140)
Symmetry-distinct sites (fractional):
Dy: 0.0000 0.0000 0.0000 x4  4 Y 3.38, 8 Dy 3.78
Dy: 0.2075 0.2925 0.1426 x16  1 Sc 3.01, 1 Y 3.05
Y: 0.0000 0.0000 0.2500 x4  8 Dy 3.48
Y: 0.1206 0.3794 0.5000 x8  1 Y 2.89, 2 Dy 3.05
Sc: 0.0000 0.5000 0.2500 x4  4 Dy 3.01

Summary:
Crystal system: tetragonal
ΔE_f, kcal/mol of atoms: 7.26
Total magnetic moment, μB/atom: 0.00
Total DFT energy (no corrections), eV per cell: -183.6


A relaxed structure of PmHgGeBi, computed with GGA-PBE.

Unit cell a=7.5138 b=7.5138 c=7.5138 alpha=90.00 beta=90.00 gamma=90.00
Last column: nearest neighbours and their distance in Å.
Space group F-43m (No. 216)
Symmetry-distinct sites (fractional):
Pm: 0.0000 0.0000 0.0000 x4  4 Ge 3.25, 4 Hg 3.25
Hg: 0.2500 0.2500 0.2500 x4  4 Bi 3.25, 4 Pm 3.25
Ge: 0.2500 0.2500 0.7500 x4  4 Bi 3.25, 4 Pm 3.25
Bi: 0.0000 0.0000 0.5000 x4  4 Hg 3.25, 4 Ge 3.25

Summary:
Crystal system: cubic
ΔE_f, kcal/mol of atoms: -5.35
Total magnetic moment, μB/atom: 0.00
Total DFT energy (no corrections), eV per cell: -57.9


A relaxed structure of BeOs2Pt, computed with GGA-PBE.

Unit cell a=2.7378 b=3.9692 c=5.1077 alpha=90.00 beta=103.28 gamma=90.00
Last column: nearest neighbours and their distance in Å.
Space group P2/m (No. 10)
Symmetry-distinct sites (fractional):
Be: 0.0000 0.0000 0.0000 x1  4 Os 2.39, 2 Pt 2.55
Os: 0.3678 0.5000 0.2220 x2  2 Be 2.39, 2 Os 2.53-2.66
Pt: 0.0000 0.0000 0.5000 x1  2 Be 2.55, 2 Pt 2.74, 8 Os 2.76-2.80

Summary:
Crystal system: monoclinic
ΔE_f, kcal/mol of atoms: 2.92
Total magnetic moment, μB/atom: 0.00
Total DFT energy (no corrections), eV per cell: -31.7


A relaxed structure of Nd6Sb2Se3I, computed with GGA-PBE.

Unit cell a=19.1825 b=4.3685 c=8.8159 alpha=90.00 beta=103.65 gamma=90.00
Last column: nearest neighbours and their distance in Å.
Space group C2/m (No. 12)
Symmetry-distinct sites (fractional):
Nd: 0.0025 0.0000 0.2165 x4  3 Se 2.89-2.99, 1 Sb 3.14
Nd: 0.1645 0.5000 0.0911 x4  3 Se 3.06-3.07, 3 Sb 3.18
Nd: 0.1810 0.5000 0.5809 x4  3 Se 2.93-3.05, 2 Sb 3.16
Sb: 0.1648 0.0000 0.8291 x4  6 Nd 3.14-3.18
Se: 0.0000 0.5000 0.0000 x2  6 Nd 2.89-3.07
Se: 0.1619 0.0000 0.3329 x4  6 Nd 2.93-3.06
I: 0.0000 0.5000 0.5000 x2  6 Nd 3.33-3.37

Summary:
Crystal system: monoclinic
Formation energy from raw total energies, eV/atom: -1.47
Total magnetic moment, μB/atom: 0.00
Total DFT energy (no corrections), eV per cell: -133.0


A relaxed structure of PrErMnZn, computed with GGA-PBE.

Unit cell a=7.2186 b=7.2186 c=7.2186 alpha=90.00 beta=90.00 gamma=90.00
Last column: nearest neighbours and their distance in Å.
Space group F-43m (No. 216)
Symmetry-distinct sites (fractional):
Pr: 0.0000 0.0000 0.0000 x4  4 Mn 3.13, 4 Zn 3.13
Er: 0.0000 0.0000 0.5000 x4  4 Mn 3.13, 4 Zn 3.13
Mn: 0.2500 0.2500 0.7500 x4  4 Pr 3.13, 4 Er 3.13
Zn: 0.2500 0.2500 0.2500 x4  4 Pr 3.13, 4 Er 3.13

Summary:
Crystal system: cubic
ΔE_f, kcal/mol of atoms: -0.12
Total magnetic moment, μB/atom: 0.75
Total DFT energy (no corrections), eV per cell: -79.2